1.
Computed, not measured: crystalline CdP2PtCl at its relaxed geometry at the PBEsol level of DFT.

```
data_CdP2PtCl
_space_group_name_H-M_alt 'P 1'
_space_group_IT_number 1
_cell_length_a 4.6208
_cell_length_b 4.6208
_cell_length_c 4.9822
_cell_angle_alpha 90.00
_cell_angle_beta 90.00
_cell_angle_gamma 90.00
loop_
_space_group_symop_operation_xyz
'x,y,z'
loop_
_atom_site_label
_atom_site_type_symbol
_atom_site_fract_x
_atom_site_fract_y
_atom_site_fract_z
Cd1 Cd 0.0000 0.0000 0.0000
P1 P 0.0000 0.5000 0.5000
P2 P 0.5000 0.0000 0.5000
Pt1 Pt 0.5000 0.5000 0.5000
Cl1 Cl 0.5000 0.5000 0.0000
```

Results
- Size of the total moment: 0.0 μB/f.u.
- Energy relative to the elements, uncorrected: 0.433 eV per atom
- Space-group type: No. 123
- Uncorrected energy: -3.92 eV per atom

2.
Computed, not measured: crystalline CdRePCl2 at its relaxed geometry at the PBEsol level of DFT.

```
data_CdRePCl2
_space_group_name_H-M_alt 'P 1'
_space_group_IT_number 1
_cell_length_a 4.8289
_cell_length_b 4.8289
_cell_length_c 5.3175
_cell_angle_alpha 90.00
_cell_angle_beta 90.00
_cell_angle_gamma 90.00
loop_
_space_group_symop_operation_xyz
'x,y,z'
loop_
_atom_site_label
_atom_site_type_symbol
_atom_site_fract_x
_atom_site_fract_y
_atom_site_fract_z
Cd1 Cd 0.0000 0.0000 0.0000
Re1 Re 0.5000 0.5000 0.5000
P1 P 0.0000 0.0000 0.5000
Cl1 Cl 0.0000 0.5000 0.0000
Cl2 Cl 0.5000 0.0000 0.0000
```

Results
- Size of the total moment: 4.3 μB/f.u.
- Energy relative to the elements, uncorrected: 1.296 eV per atom
- Space-group type: No. 123
- Uncorrected energy: -3.57 eV per atom

3.
Computed, not measured: crystalline CdPS2Cl at its relaxed geometry at the PBEsol level of DFT.

```
data_CdPS2Cl
_space_group_name_H-M_alt 'P 1'
_space_group_IT_number 1
_cell_length_a 4.7783
_cell_length_b 4.7783
_cell_length_c 5.2266
_cell_angle_alpha 90.00
_cell_angle_beta 90.00
_cell_angle_gamma 90.00
loop_
_space_group_symop_operation_xyz
'x,y,z'
loop_
_atom_site_label
_atom_site_type_symbol
_atom_site_fract_x
_atom_site_fract_y
_atom_site_fract_z
Cd1 Cd 0.0000 0.0000 0.0000
P1 P 0.0000 0.0000 0.5000
S1 S 0.0000 0.5000 0.0000
S2 S 0.5000 0.0000 0.0000
Cl1 Cl 0.5000 0.5000 0.5000
```

Results
- Size of the total moment: 0.3 μB/f.u.
- Energy relative to the elements, uncorrected: 1.037 eV per atom
- Space-group type: No. 123
- Uncorrected energy: -2.52 eV per atom